1.
NaScS2 | PBE | relaxed

The structure in POSCAR format:
```
NaScS2
1.0
-7.3955 6.8887 3.8060
4.8157 -9.4905 -1.8360
2.6039 0.5270 4.1058
Sc Na S
2 2 4
Cartesian
4.6069 -8.2056 -0.4123
-4.5828 6.1307 6.4881
1.6574 -4.2492 0.9505
-1.6332 2.1743 5.1253
3.2698 -6.4120 0.2055
-3.2457 4.3371 5.8703
-6.0927 6.1462 4.5313
6.1168 -8.2211 1.5445
```

Properties
Space group = Cmcm (63)
ΔE_f (raw) = -468 kJ/mol of formula units
Calculated volume = 215.6 Å³ per cell
Theoretical density = 2.0 g/cm3
Uncorrected energy = -41.515 eV per cell

2.
NaSc2S | PBE | relaxed

The structure in POSCAR format:
```
NaSc2S
1.0
-7.7160 -1.4624 -2.6937
2.9810 -5.2775 -5.6739
-2.6222 -5.5995 -2.2438
Sc Na S
4 2 2
Cartesian
-5.9110 -3.1262 -3.2349
1.0486 -4.7285 -4.1626
-4.0535 -6.1762 -4.2283
-5.7986 -10.6481 -9.5968
-2.3675 -3.3700 -4.1838
-1.0044 -7.1235 -6.0507
0.0000 0.0000 0.0000
-6.3529 -5.2159 -4.5606
```

Properties
Space group = I-42d (122)
ΔE_f (raw) = -155 kJ/mol of formula units
Calculated volume = 204.5 Å³ per cell
Theoretical density = 2.4 g/cm3
Uncorrected energy = -39.435 eV per cell

3.
NaSc2S | PBE | relaxed

The structure in POSCAR format:
```
NaSc2S
1.0
5.9830 -7.2340 2.6573
8.1090 -4.4648 3.0817
5.8736 -5.3739 5.6400
Sc Na S
2 1 1
Cartesian
17.6688 -15.1088 10.0700
2.2968 -1.9640 1.3090
0.0000 0.0000 0.0000
9.9828 -8.5364 5.6895
```

Properties
Space group = R-3m (166)
ΔE_f (raw) = -270 kJ/mol of formula units
Calculated volume = 102.2 Å³ per cell
Theoretical density = 2.4 g/cm3
Uncorrected energy = -20.906 eV per cell